! Li4Pt3, PBEsol geometry, DFT SCAN; values from VASP
&SYSTEM
  ibrav = 0, nat = 7, ntyp = 2
/
ATOMIC_SPECIES
Li 6.94 Li.upf
Pt 195.08 Pt.upf
CELL_PARAMETERS angstrom
5.1942 0.0000 0.0000
-2.5971 4.4983 0.0000
0.0000 0.0000 4.5630
ATOMIC_POSITIONS crystal
Li 0.0000 0.0000 0.2329
Li 0.0000 0.0000 0.7671
Li 0.3333 0.6667 0.5000
Li 0.6667 0.3333 0.5000
Pt 0.0000 0.5000 0.0000
Pt 0.5000 0.0000 0.0000
Pt 0.5000 0.5000 0.0000
! SG: No. 191
! DFT total energy, eV/cell: -224.36
! Energy of formation from the pure elements, eV/atom: -0.60
! Calculated volume, Å³ per atom: 15.231